A relaxed structure of Be2GePt2, computed with PBE.

```
Be2GePt2
1.0
6.937 0.000 0.000
0.000 6.937 0.000
0.000 0.000 2.753
Be Ge Pt
4 2 4
Direct
0.138 0.638 0.500
0.638 0.862 0.500
0.862 0.362 0.500
0.362 0.138 0.500
0.000 0.000 0.000
0.500 0.500 0.000
0.346 0.846 0.000
0.846 0.654 0.000
0.654 0.154 0.000
0.154 0.346 0.000
```

ΔE_f: -2.17 eV/f.u.
Magnetic moment: 0.00 μB/f.u.
Excess energy over the best structure of this formula in the dataset: 8 meV per atom
Fermi-level density of states: 0.4199 states/eV/atom
Space-group type: P4/mbm (127)

=====

A relaxed structure of BaTlCo2Cl8, computed with PBE.

```
BaTlCo2Cl8
1.0
6.739 0.000 0.000
3.370 5.836 0.000
3.370 1.945 9.401
Ba Tl Co Cl
1 1 2 8
Direct
0.000 0.000 0.000
0.500 0.500 0.500
0.243 0.243 0.272
0.757 0.757 0.728
0.166 0.166 0.503
0.554 0.317 0.192
0.834 0.834 0.497
0.937 0.554 0.192
0.063 0.446 0.808
0.317 0.937 0.192
0.683 0.063 0.808
0.446 0.683 0.808
```

Formation energy without anion corrections: -107 kJ/mol of atoms
Magnetic moment: 7.00 μB/f.u.
Fermi-level density of states: 1.1555 states/eV/atom
Space-group type: R-3 (148)

=====

no.,V (Å³ per cell)
1,133
2,370